# PBE Ti3ZnH, relaxed
# * DFT total energy: -5.5986 eV per atom
# * ρ: 4.809 g/cm3
data_Ti3ZnH
_chemical_formula_sum 'Ti12 Zn4 H4'
_symmetry_space_group_name_H-M 'P 1'
_symmetry_Int_Tables_number 1
_cell_length_a 5.099
_cell_length_b 7.946
_cell_length_c 7.161
_cell_angle_alpha 90.00
_cell_angle_beta 90.00
_cell_angle_gamma 90.00
loop_
_symmetry_equiv_pos_as_xyz
'x,y,z'
loop_
_atom_site_label
_atom_site_type_symbol
_atom_site_fract_x
_atom_site_fract_y
_atom_site_fract_z
_atom_site_occupancy
Ti1 Ti 0.001 0.086 0.145 1
Ti2 Ti 0.001 0.414 0.145 1
Ti3 Ti 0.249 0.250 0.749 1
Ti4 Ti 0.251 0.750 0.249 1
Ti5 Ti 0.499 0.586 0.645 1
Ti6 Ti 0.499 0.914 0.645 1
Ti7 Ti 0.501 0.086 0.355 1
Ti8 Ti 0.501 0.414 0.355 1
Ti9 Ti 0.749 0.250 0.751 1
Ti10 Ti 0.751 0.750 0.251 1
Ti11 Ti 0.999 0.586 0.855 1
Ti12 Ti 0.999 0.914 0.855 1
Zn1 Zn 0.000 0.000 0.500 1
Zn2 Zn 0.000 0.500 0.500 1
Zn3 Zn 0.500 0.000 0.000 1
Zn4 Zn 0.500 0.500 0.000 1
H1 H 0.001 0.250 0.953 1
H2 H 0.499 0.750 0.453 1
H3 H 0.501 0.250 0.547 1
H4 H 0.999 0.750 0.047 1